Entry 1:
This record from the Alexandria database describes crystalline Sr2LiZn12Ni3 at its relaxed geometry. The functional is GGA-PBE.

abc: 8.088 8.088 8.088
angles: 62.94 62.94 62.94
Positions (direct):
Zn (0.888, 0.888, 0.363)
Zn (0.318, 0.318, 0.864)
Zn (0.318, 0.864, 0.318)
Zn (0.112, 0.112, 0.637)
Ni (0.000, 0.500, 0.000)
Zn (0.682, 0.136, 0.682)
Zn (0.136, 0.682, 0.682)
Li (0.000, 0.000, 0.000)
Sr (0.611, 0.611, 0.611)
Zn (0.363, 0.888, 0.888)
Zn (0.112, 0.637, 0.112)
Zn (0.637, 0.112, 0.112)
Ni (0.500, 0.000, 0.000)
Sr (0.389, 0.389, 0.389)
Ni (0.000, 0.000, 0.500)
Zn (0.682, 0.682, 0.136)
Zn (0.888, 0.363, 0.888)
Zn (0.864, 0.318, 0.318)

Values from the calculation:
volume: 22.1 Å³/atom
calculated density: 4.8 g cm⁻³
E_tot: -35.34 eV per cell
calculated formation energy: 13.75 kJ per mole of atoms

Entry 2:
This record from the Alexandria database describes crystalline Ba5Sr2MgTl2 at its relaxed geometry. The functional is GGA-PBE.

abc: 4.429 14.917 14.917
angles: 90.00 90.00 90.00
Positions (direct):
Ba (0.500, 0.000, 0.500)
Sr (0.000, 0.192, 0.308)
Ba (0.500, 0.049, 0.800)
Sr (0.000, 0.808, 0.692)
Tl (0.000, 0.863, 0.363)
Sr (0.000, 0.692, 0.192)
Tl (0.000, 0.137, 0.637)
Ba (0.500, 0.451, 0.300)
Sr (0.000, 0.308, 0.808)
Ba (0.500, 0.800, 0.951)
Ba (0.500, 0.200, 0.049)
Ba (0.500, 0.951, 0.200)
Mg (0.000, 0.500, 0.500)
Ba (0.500, 0.300, 0.549)
Tl (0.000, 0.363, 0.137)
Tl (0.000, 0.637, 0.863)
Ba (0.500, 0.549, 0.700)
Mg (0.000, 0.000, 0.000)
Ba (0.500, 0.700, 0.451)
Ba (0.500, 0.500, 0.000)

Values from the calculation:
volume: 49.3 Å³/atom
calculated density: 4.4 g cm⁻³
E_tot: -41.60 eV per cell
calculated formation energy: -14.42 kJ per mole of atoms

Entry 3:
This record from the Alexandria database describes crystalline MoAsCl at its relaxed geometry. The functional is GGA-PBE.

abc: 8.085 7.818 3.061
angles: 83.86 74.03 22.11
Positions (direct):
Cl (0.292, 0.292, 0.708)
Mo (0.668, 0.668, 0.332)
As (0.040, 0.040, 0.960)

Values from the calculation:
volume: 21.3 Å³/atom
calculated density: 5.4 g cm⁻³
uncorrected formation energy: 0.29 eV/f.u.
E_tot: -17.04 eV per cell

Entry 4:
This record from the Alexandria database describes crystalline AcCd3Pt2 at its relaxed geometry. The functional is GGA-PBE.

abc: 4.241 8.823 9.094
angles: 119.05 90.00 103.91
Positions (direct):
Cd (0.384, 0.768, 0.269)
Pt (0.509, 0.018, 0.155)
Cd (0.320, 0.639, 0.543)
Cd (0.616, 0.232, 0.731)
Pt (0.789, 0.579, 0.303)
Cd (0.964, 0.929, 0.620)
Pt (0.491, 0.982, 0.845)
Pt (0.211, 0.421, 0.697)
Ac (0.140, 0.281, 0.079)
Cd (0.680, 0.361, 0.457)
Cd (0.036, 0.071, 0.380)
Ac (0.860, 0.719, 0.921)

Values from the calculation:
volume: 23.8 Å³/atom
calculated density: 11.1 g cm⁻³
E_tot: -44.72 eV per cell
calculated formation energy: -55.11 kJ per mole of atoms

Entry 5:
This record from the Alexandria database describes crystalline Re2SiBAu at its relaxed geometry. The functional is GGA-PBE.

abc: 4.502 4.482 4.502
angles: 90.00 90.00 90.00
Each line ends with the local moment (μB).
Positions (direct):
Si (0.000, 0.000, 0.000)  -0.03
Re (0.000, 0.000, 0.500)  0.97
Re (0.500, 0.000, 0.000)  0.82
B (0.500, 0.500, 0.500)  -0.03
Au (0.000, 0.500, 0.000)  0.06

Values from the calculation:
volume: 18.2 Å³/atom
calculated density: 11.1 g cm⁻³
uncorrected formation energy: 10.68 eV/f.u.
E_tot: -29.60 eV per cell

Entry 6:
This record from the Alexandria database describes crystalline PuInSnBi at its relaxed geometry. The functional is GGA-PBE.

abc: 5.446 5.446 5.446
angles: 60.00 60.00 60.00
Each line ends with the local moment (μB).
Positions (direct):
Pu (0.000, 0.000, 0.000)  5.54
In (0.500, 0.500, 0.500)  0.01
Sn (0.250, 0.250, 0.250)  0.06
Bi (0.750, 0.750, 0.750)  0.04

Values from the calculation:
volume: 28.6 Å³/atom
calculated density: 10.0 g cm⁻³
E_tot: -25.10 eV per cell
calculated formation energy: -3.41 kJ per mole of atoms

Entry 7:
This record from the Alexandria database describes crystalline LaMg3Zr at its relaxed geometry. The functional is GGA-PBE.

abc: 5.458 5.458 5.458
angles: 90.00 90.00 90.00
Positions (direct):
Zr (0.500, 0.500, 0.500)
Mg (0.000, 0.500, 0.000)
La (0.000, 0.000, 0.000)
Mg (0.500, 0.000, 0.000)
Mg (0.000, 0.000, 0.500)

Values from the calculation:
volume: 32.5 Å³/atom
calculated density: 3.1 g cm⁻³
E_tot: -11.18 eV per cell
calculated formation energy: 136.69 kJ per mole of atoms

Entry 8:
This record from the Alexandria database describes crystalline Ba2AgRh3O8 at its relaxed geometry. The functional is GGA-PBE.

abc: 6.511 6.511 7.147
angles: 62.90 62.90 60.00
Positions (direct):
O (0.752, 0.752, 0.178)
Rh (0.995, 0.497, 0.012)
Ag (0.917, 0.917, 0.248)
Rh (0.497, 0.995, 0.012)
Ba (0.497, 0.497, 0.508)
O (0.239, 0.239, 0.847)
O (0.752, 0.318, 0.178)
O (0.676, 0.239, 0.847)
Rh (0.497, 0.497, 0.012)
O (0.318, 0.752, 0.178)
Ba (0.123, 0.123, 0.632)
O (0.239, 0.676, 0.847)
O (0.719, 0.719, 0.844)
O (0.272, 0.272, 0.183)

Values from the calculation:
volume: 15.9 Å³/atom
calculated density: 6.1 g cm⁻³
uncorrected formation energy: -16.44 eV/f.u.
E_tot: -84.86 eV per cell